Record 1
Density functional theory data (PBE) for a geometry-optimized VBiAuN2 structure.

Summary:
**Theoretical density**: 9.3 Mg/m³
**Density of states at the Fermi level**: 10.23 states/eV per cell
**Electronic total energy**: -0.17169 Ha/atom
**Calculated volume**: 17.4 Å³ per atom
**Raw formation energy**: 1914 meV per atom

```
5
Lattice="4.076 0.000 0.000 0.000 4.076 0.000 0.000 0.000 5.222" Properties=species:S:1:pos:R:3 pbc="T T T"
V 0.000 0.000 0.000
Bi 2.038 2.038 0.000
Au 0.000 0.000 2.611
N 0.000 2.038 2.611
N 2.038 0.000 2.611
```


Record 2
Density functional theory data (PBE) for a geometry-optimized ZrReIr4 structure.

Summary:
**Formation energy**: -32 meV per atom
**Theoretical density**: 17.8 Mg/m³
**Density of states at the Fermi level**: 8.09 states/eV per cell
**Electronic total energy**: -0.34688 Ha/atom
**Calculated volume**: 16.3 Å³ per atom

```
6
Lattice="0.000 3.654 3.654 3.654 0.000 3.654 3.654 3.654 0.000" Properties=species:S:1:pos:R:3 pbc="T T T"
Zr 0.000 0.000 0.000
Re 5.481 5.481 5.481
Ir 2.745 2.745 2.745
Ir 4.563 4.563 2.745
Ir 4.563 2.745 4.563
Ir 2.745 4.563 4.563
```


Record 3
Density functional theory data (PBE) for a geometry-optimized HfNbOs2 structure.

Summary:
**Formation energy**: -396 meV per atom
**Theoretical density**: 16.2 Mg/m³
**Density of states at the Fermi level**: 3.17 states/eV per cell
**Electronic total energy**: -0.40484 Ha/atom
**Calculated volume**: 16.7 Å³ per atom

```
4
Lattice="3.171 0.000 0.000 0.000 3.171 0.000 0.000 0.000 6.655" Properties=species:S:1:pos:R:3 pbc="T T T"
Hf 0.000 0.000 0.000
Nb 0.000 0.000 3.328
Os 1.585 1.585 1.675
Os 1.585 1.585 4.981
```


Record 4
Density functional theory data (PBE) for a geometry-optimized AlPdRh structure.

Summary:
**Formation energy**: -509 meV per atom
**Theoretical density**: 8.1 Mg/m³
**Density of states at the Fermi level**: 1.89 states/eV per cell
**Electronic total energy**: -0.21823 Ha/atom
**Calculated volume**: 16.1 Å³ per atom

```
3
Lattice="3.534 -2.040 0.000 3.534 2.040 0.000 -2.339 0.000 3.343" Properties=species:S:1:pos:R:3 pbc="T T T"
Al 0.000 0.000 0.000
Pd 0.015 0.000 2.505
Rh 4.715 0.000 0.838
```


Record 5
Density functional theory data (PBE) for a geometry-optimized KTl6Br8 structure.

Summary:
**Energy above the lowest structure with this stoichiometry**: 0 meV/atom
**Theoretical density**: 5.6 Mg/m³
**Density of states at the Fermi level**: 9.27 states/eV per cell
**Electronic total energy**: -0.10213 Ha/atom
**Calculated volume**: 37.5 Å³ per atom
**Raw formation energy**: -867 meV per atom

```
15
Lattice="11.510 0.000 0.000 -5.755 9.968 0.000 0.000 0.000 4.900" Properties=species:S:1:pos:R:3 pbc="T T T"
K 0.000 0.000 0.000
Tl -1.207 4.616 3.667
Tl -1.154 8.705 3.667
Tl 3.394 3.354 1.233
Tl 2.361 6.614 3.667
Tl 6.909 1.262 1.233
Tl 6.962 5.352 1.233
Br -3.870 7.263 3.693
Br 1.400 2.985 3.693
Br 3.285 0.280 1.207
Br 0.000 6.645 1.209
Br 5.755 3.323 3.691
Br 2.470 9.688 3.693
Br 4.355 6.983 1.207
Br 9.625 2.705 1.207
```


Record 6
Density functional theory data (PBE) for a geometry-optimized EuBrF structure.

Summary:
**Theoretical density**: 6.0 Mg/m³
**Electronic total energy**: -0.27576 Ha/atom
**Calculated volume**: 23.2 Å³ per atom
**Raw formation energy**: -2897 meV per atom

```
3
Lattice="4.179 0.000 0.000 -2.090 3.619 0.000 0.000 0.000 4.598" Properties=species:S:1:pos:R:3 pbc="T T T"
Eu 0.000 0.000 0.000
Br 0.000 2.413 2.299
F 2.090 1.206 0.000
```


Record 7
Density functional theory data (PBE) for a geometry-optimized MgTl2In structure.

Summary:
**Formation energy**: 5 meV per atom
**Theoretical density**: 8.4 Mg/m³
**Density of states at the Fermi level**: 0.90 states/eV per cell
**Electronic total energy**: -0.08311 Ha/atom
**Calculated volume**: 27.2 Å³ per atom

```
4
Lattice="3.757 0.000 0.000 0.000 3.757 0.000 0.000 0.000 7.697" Properties=species:S:1:pos:R:3 pbc="T T T"
Mg 0.000 0.000 0.000
Tl 1.879 1.879 1.822
Tl 1.879 1.879 5.875
In 0.000 0.000 3.849
```


Record 8
Density functional theory data (PBE) for a geometry-optimized Ho6SnRh structure.

Summary:
**Formation energy**: -197 meV per atom
**Theoretical density**: 7.8 Mg/m³
**Density of states at the Fermi level**: 9.14 states/eV per cell
**Electronic total energy**: -0.18559 Ha/atom
**Calculated volume**: 32.2 Å³ per atom

```
8
Lattice="6.804 0.000 0.000 -3.400 5.903 0.000 -3.391 -1.967 6.412" Properties=species:S:1:pos:R:3 pbc="T T T"
Ho -0.874 -0.030 1.641
Ho -1.284 3.728 1.641
Ho -2.163 1.726 4.772
Ho 2.176 2.210 1.641
Ho 1.297 0.207 4.772
Ho 0.887 3.966 4.771
Sn 3.402 0.000 0.000
Rh 0.006 1.968 3.206
```


Record 9
Density functional theory data (PBE) for a geometry-optimized MgTi structure.

Summary:
**Formation energy**: 205 meV per atom
**Theoretical density**: 3.1 Mg/m³
**Density of states at the Fermi level**: 19.38 states/eV per cell
**Electronic total energy**: -0.16684 Ha/atom
**Calculated volume**: 19.2 Å³ per atom

```
16
Lattice="10.815 0.000 0.000 0.000 4.707 0.000 0.000 0.000 6.051" Properties=species:S:1:pos:R:3 pbc="T T T"
Mg 0.882 1.177 0.276
Mg 1.853 3.530 4.730
Mg 3.555 1.177 1.704
Mg 4.526 3.530 3.301
Mg 6.289 1.177 2.750
Mg 7.260 3.530 4.346
Mg 8.963 1.177 1.321
Mg 9.934 3.530 5.775
Ti 0.728 1.177 3.253
Ti 1.888 3.530 1.837
Ti 3.520 1.177 4.863
Ti 4.680 3.530 0.228
Ti 6.135 1.177 5.823
Ti 7.295 3.530 1.188
Ti 8.927 1.177 4.213
Ti 10.088 3.530 2.798
```


Record 10
Density functional theory data (PBE) for a geometry-optimized BaZn3F9 structure.

Summary:
**Theoretical density**: 4.4 Mg/m³
**Density of states at the Fermi level**: 6.83 states/eV per cell
**Electronic total energy**: -0.15295 Ha/atom
**Calculated volume**: 14.6 Å³ per atom
**Raw formation energy**: -2425 meV per atom

```
13
Lattice="7.451 0.000 0.000 -3.725 6.453 0.000 0.000 0.000 3.939" Properties=species:S:1:pos:R:3 pbc="T T T"
Ba 0.000 0.000 0.000
Zn -1.863 3.226 1.969
Zn 3.725 0.000 1.969
Zn 1.863 3.226 1.969
F -1.863 3.226 0.000
F 0.000 2.448 1.969
F -1.605 5.228 1.969
F 2.120 1.224 1.969
F 3.725 0.000 0.000
F 1.863 3.226 0.000
F 1.605 5.228 1.969
F 5.331 1.224 1.969
F 3.725 4.004 1.969
```


Record 11
Density functional theory data (PBE) for a geometry-optimized PmVAs3 structure.

Summary:
**Formation energy**: -378 meV per atom
**Theoretical density**: 6.3 Mg/m³
**Density of states at the Fermi level**: 4.86 states/eV per cell
**Electronic total energy**: -0.21836 Ha/atom
**Calculated volume**: 22.1 Å³ per atom

```
5
Lattice="4.797 0.000 0.000 0.000 4.797 0.000 0.000 0.000 4.797" Properties=species:S:1:pos:R:3 pbc="T T T"
Pm 0.000 0.000 0.000
V 2.398 2.398 2.398
As 0.000 2.398 2.398
As 2.398 0.000 2.398
As 2.398 2.398 0.000
```


Record 12
Density functional theory data (PBE) for a geometry-optimized Ag2Pt structure.

Summary:
**Energy above the lowest structure with this stoichiometry**: 195 meV/atom
**Formation energy**: 181 meV per atom
**Theoretical density**: 10.8 Mg/m³
**Density of states at the Fermi level**: 2.19 states/eV per cell
**Electronic total energy**: -0.13721 Ha/atom
**Calculated volume**: 21.0 Å³ per atom

```
3
Lattice="4.741 0.000 0.000 0.000 4.741 0.000 0.000 0.000 2.801" Properties=species:S:1:pos:R:3 pbc="T T T"
Ag 0.000 2.370 0.000
Ag 2.370 0.000 0.000
Pt 0.000 0.000 1.400
```


Record 13
Density functional theory data (PBE) for a geometry-optimized BaHg4Au2 structure.

Summary:
**Energy above the lowest structure with this stoichiometry**: 0 meV/atom
**Formation energy**: -319 meV per atom
**Theoretical density**: 12.0 Mg/m³
**Density of states at the Fermi level**: 10.23 states/eV per cell
**Electronic total energy**: -0.06257 Ha/atom
**Calculated volume**: 26.4 Å³ per atom

```
28
Lattice="19.232 0.000 0.000 0.000 5.220 0.000 0.000 0.000 7.369" Properties=species:S:1:pos:R:3 pbc="T T T"
Ba 2.663 1.305 0.077
Ba 6.953 3.915 3.762
Ba 12.279 1.305 3.607
Ba 16.569 3.915 7.292
Hg 0.707 3.915 5.993
Hg 1.320 1.305 3.657
Hg 3.466 3.915 2.322
Hg 3.596 3.915 5.276
Hg 6.020 1.305 1.592
Hg 6.150 1.305 6.006
Hg 8.296 3.915 7.342
Hg 8.909 1.305 2.308
Hg 10.323 3.915 5.061
Hg 10.936 1.305 0.028
Hg 13.082 3.915 1.363
Hg 13.212 3.915 5.777
Hg 15.636 1.305 2.093
Hg 15.766 1.305 5.047
Hg 17.912 3.915 3.712
Hg 18.526 1.305 1.376
Au 0.695 3.915 1.638
Au 4.197 1.305 3.853
Au 5.419 3.915 0.169
Au 8.921 1.305 5.322
Au 10.311 3.915 2.047
Au 13.813 1.305 7.200
Au 15.035 3.915 3.516
Au 18.537 1.305 5.731
```


Record 14
Density functional theory data (PBE) for a geometry-optimized NpAgIr4 structure.

Summary:
**Formation energy**: -139 meV per atom
**Theoretical density**: 17.8 Mg/m³
**Density of states at the Fermi level**: 8.71 states/eV per cell
**Electronic total energy**: -0.31892 Ha/atom
**Calculated volume**: 17.3 Å³ per atom

```
6
Lattice="0.000 3.730 3.730 3.730 0.000 3.730 3.730 3.730 0.000" Properties=species:S:1:pos:R:3 pbc="T T T"
Np 0.000 0.000 0.000
Ag 5.596 5.596 5.596
Ir 2.801 2.801 2.801
Ir 4.660 4.660 2.801
Ir 4.660 2.801 4.660
Ir 2.801 4.660 4.660
```


Record 15
Density functional theory data (PBE) for a geometry-optimized Ce3GeAu2 structure.

Summary:
**Formation energy**: -601 meV per atom
**Theoretical density**: 9.9 Mg/m³
**Density of states at the Fermi level**: 19.28 states/eV per cell
**Electronic total energy**: -0.19955 Ha/atom
**Calculated volume**: 24.9 Å³ per atom

```
6
Lattice="5.174 0.000 0.000 -2.587 4.481 0.000 0.000 0.000 6.432" Properties=species:S:1:pos:R:3 pbc="T T T"
Ce 0.000 0.000 0.000
Ce 0.000 2.987 4.133
Ce 2.587 1.494 2.299
Ge 0.000 0.000 3.216
Au 0.000 2.987 0.856
Au 2.587 1.494 5.576
```


Record 16
Density functional theory data (PBE) for a geometry-optimized Pr7NdSm12 structure.

Summary:
**Energy above the lowest structure with this stoichiometry**: 0 meV/atom
**Formation energy**: 216 meV per atom
**Theoretical density**: 6.9 Mg/m³
**Density of states at the Fermi level**: 38.17 states/eV per cell
**Electronic total energy**: -0.16634 Ha/atom
**Calculated volume**: 35.5 Å³ per atom

```
20
Lattice="6.142 3.546 5.428 -6.142 3.546 5.428 0.000 -7.092 5.428" Properties=species:S:1:pos:R:3 pbc="T T T"
Pr 0.000 0.000 0.000
Pr -1.494 -1.403 4.741
Pr -0.468 1.996 4.741
Pr 1.963 -0.592 4.741
Pr -1.963 0.592 11.542
Pr 0.468 -1.996 11.542
Pr 1.494 1.403 11.542
Nd 0.000 0.000 8.142
Sm -2.208 -4.933 6.814
Sm -5.376 -0.554 9.469
Sm -3.265 0.962 7.223
Sm -2.466 -2.346 9.060
Sm 0.799 -3.309 7.223
Sm -3.168 4.379 6.814
Sm 3.168 -4.379 9.469
Sm -0.799 3.309 9.060
Sm 2.466 2.346 7.223
Sm 3.265 -0.962 9.060
Sm 5.376 0.554 6.814
Sm 2.208 4.933 9.469
```


Record 17
Density functional theory data (PBE) for a geometry-optimized ZnCo2Te structure.

Summary:
**Energy above the lowest structure with this stoichiometry**: 107 meV/atom
**Theoretical density**: 8.7 Mg/m³
**Density of states at the Fermi level**: 4.28 states/eV per cell
**Electronic total energy**: -0.16023 Ha/atom
**Calculated volume**: 14.9 Å³ per atom
**Raw formation energy**: 297 meV per atom

```
4
Lattice="3.928 -1.575 0.000 3.928 1.575 0.000 -1.049 0.000 4.814" Properties=species:S:1:pos:R:3 pbc="T T T"
Zn 0.000 0.000 0.000
Co 1.150 0.000 3.663
Co 5.656 0.000 1.151
Te 3.403 0.000 2.407
```


Record 18
Density functional theory data (PBE) for a geometry-optimized Sr3TiCu structure.

Summary:
**Energy above the lowest structure with this stoichiometry**: 0 meV/atom
**Formation energy**: 521 meV per atom
**Theoretical density**: 3.1 Mg/m³
**Density of states at the Fermi level**: 4.45 states/eV per cell
**Electronic total energy**: -0.10609 Ha/atom
**Calculated volume**: 40.4 Å³ per atom

```
5
Lattice="5.867 0.000 0.000 0.000 5.867 0.000 0.000 0.000 5.867" Properties=species:S:1:pos:R:3 pbc="T T T"
Sr 0.000 0.000 2.933
Sr 0.000 2.933 0.000
Sr 2.933 0.000 0.000
Ti 2.933 2.933 2.933
Cu 0.000 0.000 0.000
```


Record 19
Density functional theory data (PBE) for a geometry-optimized PmY2Er4Sc structure.

Summary:
**Formation energy**: 444 meV per atom
**Theoretical density**: 6.7 Mg/m³
**Density of states at the Fermi level**: 35.35 states/eV per cell
**Electronic total energy**: -0.17781 Ha/atom
**Calculated volume**: 31.9 Å³ per atom

```
16
Lattice="6.707 -6.540 0.000 6.707 6.540 0.000 -3.367 0.000 5.819" Properties=species:S:1:pos:R:3 pbc="T T T"
Pm 3.353 3.270 0.000
Pm 1.670 -3.270 2.909
Y 0.000 0.000 0.000
Y -1.684 0.000 2.909
Y 1.670 3.270 2.909
Y 3.353 -3.270 0.000
Er 6.701 3.122 0.006
Er 5.030 3.122 2.903
Er 3.492 0.013 0.089
Er 1.808 -0.013 2.998
Er 8.238 0.013 2.820
Er 6.555 -0.013 5.730
Er 5.017 -3.122 2.916
Er 3.346 -3.122 5.812
Sc 6.707 0.000 0.000
Sc 5.023 0.000 2.909
```


Record 20
Density functional theory data (PBE) for a geometry-optimized Sr2CrTcN5 structure.

Summary:
**Theoretical density**: 5.2 Mg/m³
**Density of states at the Fermi level**: 3.83 states/eV per cell
**Electronic total energy**: -0.28343 Ha/atom
**Calculated volume**: 14.0 Å³ per atom
**Raw formation energy**: -493 meV per atom

```
18
Lattice="1.634 -7.405 0.000 1.634 7.405 0.000 0.000 0.000 10.413" Properties=species:S:1:pos:R:3 pbc="T T T"
Sr 1.634 5.598 5.206
Sr 1.634 5.449 1.226
Sr 1.634 -5.449 6.433
Sr 1.634 -5.598 0.000
Cr 1.634 0.903 2.677
Cr 1.634 -0.903 7.884
Tc 1.634 4.216 8.695
Tc 1.634 -4.216 3.489
N 1.634 6.715 8.711
N 1.634 3.002 4.715
N 1.634 2.614 2.111
N 1.634 2.469 8.481
N 1.634 0.072 1.247
N 1.634 -0.072 6.453
N 1.634 -2.469 3.274
N 1.634 -2.614 7.317
N 1.634 -3.002 9.921
N 1.634 -6.715 3.505
```


Record 21
Density functional theory data (PBE) for a geometry-optimized Na4Tl2Hg structure.

Summary:
**Energy above the lowest structure with this stoichiometry**: 0 meV/atom
**Formation energy**: -124 meV per atom
**Theoretical density**: 5.6 Mg/m³
**Density of states at the Fermi level**: 6.06 states/eV per cell
**Electronic total energy**: -0.05870 Ha/atom
**Calculated volume**: 29.8 Å³ per atom

```
14
Lattice="6.231 0.000 0.000 3.075 7.250 0.000 3.092 -1.055 9.239" Properties=species:S:1:pos:R:3 pbc="T T T"
Na 3.091 1.561 3.466
Na 6.186 4.718 7.964
Na 4.649 5.224 2.355
Na 4.663 0.980 6.877
Na 7.734 5.216 2.361
Na 7.749 0.972 6.884
Na 6.212 1.477 1.274
Na 9.307 4.635 5.773
Tl 3.083 3.021 0.538
Tl 3.115 0.000 0.000
Tl 6.199 3.098 4.619
Tl 9.315 3.175 8.701
Hg 6.176 6.133 5.098
Hg 6.222 0.063 4.141
```


Record 22
Density functional theory data (PBE) for a geometry-optimized TaMoAu4 structure.

Summary:
**Formation energy**: 566 meV per atom
**Theoretical density**: 16.2 Mg/m³
**Density of states at the Fermi level**: 8.77 states/eV per cell
**Electronic total energy**: -0.19843 Ha/atom
**Calculated volume**: 18.1 Å³ per atom

```
6
Lattice="0.000 3.790 3.790 3.790 0.000 3.790 3.790 3.790 0.000" Properties=species:S:1:pos:R:3 pbc="T T T"
Ta 0.000 0.000 0.000
Mo 5.685 5.685 5.685
Au 2.842 2.842 2.842
Au 4.738 4.738 2.842
Au 4.738 2.842 4.738
Au 2.842 4.738 4.738
```


Record 23
Density functional theory data (PBE) for a geometry-optimized KMg2Te structure.

Summary:
**Theoretical density**: 2.8 Mg/m³
**Density of states at the Fermi level**: 1.16 states/eV per cell
**Electronic total energy**: -0.07772 Ha/atom
**Calculated volume**: 32.1 Å³ per atom
**Raw formation energy**: -258 meV per atom

```
4
Lattice="6.855 -1.794 0.000 6.855 1.794 0.000 -2.402 0.000 5.216" Properties=species:S:1:pos:R:3 pbc="T T T"
K 0.000 0.000 0.000
Mg 1.114 0.000 3.682
Mg 10.195 0.000 1.534
Te 5.654 0.000 2.608
```